1.
First-principles (PBE-GGA) data for a relaxed H2Pd3Pt crystal, as listed in the Alexandria database.

uncorrected energy	-4.77	eV per atom
distance to the lowest polymorph of the same formula	0.0	meV/atom
crystal system	triclinic

a = 5.7131 Å, b = 6.5175 Å, c = 4.9338 Å
α = 103.56°, β = 55.41°, γ = 114.49°
Closest atoms and distances in Å follow each position.
Element x y z (fractional)
H1 0.3671 0.5004 0.2866  4 Pd 1.79-1.91
H2 0.6329 0.4996 0.7134  4 Pd 1.79-1.91
H3 0.0012 0.7433 0.7653  1 Pt 1.80, 3 Pd 1.81-1.87
H4 0.9988 0.2567 0.2347  1 Pt 1.80, 3 Pd 1.81-1.87
Pd1 0.3960 0.7655 0.4946  2 H 1.79-1.81
Pd2 0.2539 0.5178 0.9974  3 H 1.83-1.91
Pd3 0.1144 0.2381 0.5119  2 H 1.81-1.87
Pd4 0.7461 0.4822 0.0026  3 H 1.83-1.91
Pd5 0.8856 0.7619 0.4881  2 H 1.81-1.87
Pd6 0.6040 0.2345 0.5054  2 H 1.79-1.81
Pt1 0.5000 0.0000 0.0000  10 Pd 2.83-2.88, 2 Pt 2.86
Pt2 0.0000 0.0000 0.0000  2 H 1.80



2.
First-principles (PBE-GGA) data for a relaxed Ag2PHO4 crystal, as listed in the Alexandria database.

uncorrected energy	-4.82	eV per atom
distance to the lowest polymorph of the same formula	703.0	meV/atom
crystal system	monoclinic

a = 6.1056 Å, b = 6.1056 Å, c = 8.3612 Å
α = 127.33°, β = 127.33°, γ = 70.43°
Closest atoms and distances in Å follow each position.
Element x y z (fractional)
O1 0.2336 0.3998 0.4828  1 H 1.41
O2 0.3487 0.7665 0.5216  1 P 1.54
O3 0.1003 0.2664 0.0173  1 H 1.41
O4 0.7335 0.1513 0.9784  1 P 1.54
O5 0.8997 0.7336 0.9828  1 H 1.41
O6 0.7664 0.6003 0.5173  1 H 1.41
O7 0.6513 0.2335 0.4784  1 P 1.54
O8 0.2665 0.8487 0.0216  1 P 1.54
Ag1 0.5000 0.0000 0.0000  2 O 2.08
Ag2 0.5000 0.5000 0.0000  2 O 2.10
Ag3 0.5000 0.0000 0.5000  2 O 2.08
Ag4 0.0000 0.0000 0.5000  2 O 2.10
H1 0.0000 0.5000 0.0000  2 O 1.41
H2 0.0000 0.5000 0.5000  2 O 1.41
P1 0.0000 0.0000 0.0000  2 O 1.54
P2 0.5000 0.5000 0.5000  2 O 1.54



3.
First-principles (PBE-GGA) data for a relaxed Tb2Nd3Er7 crystal, as listed in the Alexandria database.

uncorrected energy	-4.32	eV per atom
distance to the lowest polymorph of the same formula	217.4	meV/atom
energy of formation	304	meV per atom
crystal system	monoclinic

a = 5.6346 Å, b = 6.0512 Å, c = 12.2336 Å
α = 95.25°, β = 90.00°, γ = 90.00°
Closest atoms and distances in Å follow each position.
Element x y z (fractional)
Nd1 0.0000 0.9757 0.3223  6 Er 3.45-3.57, 2 Tb 3.47
Nd2 0.5000 0.5000 0.0000  6 Er 3.28-3.55, 2 Tb 3.58
Nd3 0.0000 0.0243 0.6777  6 Er 3.45-3.57, 2 Tb 3.47
Er1 0.5000 0.0931 0.1599  3 Nd 3.28-3.56, 2 Tb 3.30-3.54, 5 Er 3.44-3.57
Er2 0.0000 0.0000 0.0000  6 Er 3.32-3.45
Er3 0.0000 0.4558 0.1728  2 Tb 3.31, 3 Er 3.32-3.57, 4 Nd 3.49-3.57
Er4 0.5000 0.9069 0.8401  3 Nd 3.28-3.56, 2 Tb 3.30-3.54, 5 Er 3.44-3.57
Er5 0.5000 0.2261 0.4395  3 Er 3.23-3.50, 2 Tb 3.23-3.33, 2 Nd 3.45
Er6 0.0000 0.5442 0.8272  2 Tb 3.31, 3 Er 3.32-3.57, 4 Nd 3.49-3.57
Er7 0.5000 0.7739 0.5605  3 Er 3.23-3.50, 2 Tb 3.23-3.33, 2 Nd 3.45
Tb1 0.5000 0.6404 0.2906  6 Er 3.23-3.54, 3 Nd 3.47-3.58
Tb2 0.5000 0.3596 0.7094  6 Er 3.23-3.54, 3 Nd 3.47-3.58



4.
First-principles (PBE-GGA) data for a relaxed RbSbI2O crystal, as listed in the Alexandria database.

uncorrected energy	-3.14	eV per atom
distance to the lowest polymorph of the same formula	388.2	meV/atom
formation energy without anion corrections	-0.515	eV/atom
crystal system	tetragonal

a = 6.7522 Å, b = 6.7522 Å, c = 4.0519 Å
α = 90.00°, β = 90.00°, γ = 90.00°
Closest atoms and distances in Å follow each position.
Element x y z (fractional)
Rb1 0.5000 0.5000 0.5000  8 I 3.94, 2 Rb 4.05
Sb1 0.0000 0.0000 0.5000  2 O 2.03
I1 0.0000 0.5000 0.0000  2 O 3.38
I2 0.5000 0.0000 0.0000  2 O 3.38
O1 0.0000 0.0000 0.0000  2 Sb 2.03



- The lowest distance to the lowest polymorph of the same formula belongs to which entry?
  H2Pd3Pt



- Which value of uncorrected energy does entry 1 give?
  -4.77 eV per atom